[1]
# PBE-GGA Dy4Hg2N, relaxed
# * uncorrected formation energy: -0.727 eV per atom
# * offset from the most stable computed form: 0.0000 eV/atom
# * D(E_F): 11.5 states/eV per cell
data_Dy4Hg2N
_space_group_name_H-M_alt 'I 4/m m m'
_space_group_IT_number 139
_space_group_name_Hall '-I 4 2'
_cell_length_a 4.8099
_cell_length_b 4.8099
_cell_length_c 14.7988
_cell_angle_alpha 90.00
_cell_angle_beta 90.00
_cell_angle_gamma 90.00
loop_
_atom_site_label
_atom_site_type_symbol
_atom_site_fract_x
_atom_site_fract_y
_atom_site_fract_z
Dy1 Dy 0.0000 0.0000 0.1685
Dy2 Dy 0.0000 0.5000 0.0000
Hg1 Hg 0.0000 0.0000 0.3685
N1 N 0.0000 0.0000 0.0000

[2]
# PBE-GGA Rb2PtI6, relaxed
# * uncorrected formation energy: -0.660 eV per atom
data_Rb2PtI6
_space_group_name_H-M_alt 'P 42/m n m'
_space_group_IT_number 136
_space_group_name_Hall '-P 4n 2n'
_cell_length_a 7.8593
_cell_length_b 7.8593
_cell_length_c 15.1529
_cell_angle_alpha 90.00
_cell_angle_beta 90.00
_cell_angle_gamma 90.00
loop_
_atom_site_label
_atom_site_type_symbol
_atom_site_fract_x
_atom_site_fract_y
_atom_site_fract_z
Rb1 Rb 0.0000 0.0000 0.1641
Pt1 Pt 0.0000 0.0000 0.5000
I1 I 0.1703 0.1703 0.3721
I2 I 0.2443 0.7557 0.5000

Size of the total moment readings, ordered: 0.000 0.000 μB/atom